VASP calculation (PBE) on a relaxed ZnNi2Se crystal.

Output
As for the polymorph energy (0 for the lowest one): 0.061 eV per atom.

Lattice parameters (Å, degrees): 4.339 3.286 3.873 90.00 90.00 90.00
Fractional positions:
Ni 0.000 0.875 0.041
Ni 0.500 0.375 0.224
Zn 0.500 0.875 0.730
Se 0.000 0.375 0.505